(1)
A relaxed Mo2PbAu crystal. Source: the Alexandria database, functional PBE-GGA. Values from VASP.

```
&SYSTEM
  ibrav = 0, nat = 4, ntyp = 3
/
ATOMIC_SPECIES
Mo 95.94 Mo.upf
Pb 207.20 Pb.upf
Au 196.97 Au.upf
CELL_PARAMETERS angstrom
1.507 0.870 9.446
-1.507 0.870 9.446
0.000 -1.740 9.446
ATOMIC_POSITIONS crystal
Mo 0.246 0.246 0.246
Mo 0.754 0.754 0.754
Pb 0.000 0.000 0.000
Au 0.500 0.500 0.500
```

Properties
ΔH_f (0 K) = 729 meV/atom
Electronic total energy = -0.2364 Ha/atom
Crystal system = trigonal
DOS at the Fermi energy = 4.55 states/eV per cell



(2)
A relaxed PrThAsS crystal. Source: the Alexandria database, functional PBE-GGA. Values from VASP.

```
&SYSTEM
  ibrav = 0, nat = 4, ntyp = 4
/
ATOMIC_SPECIES
Pr 140.91 Pr.upf
Th 232.04 Th.upf
As 74.92 As.upf
S 32.06 S.upf
CELL_PARAMETERS angstrom
4.170 0.000 0.000
0.000 4.170 0.000
0.000 0.000 5.921
ATOMIC_POSITIONS crystal
Pr 0.000 0.000 0.000
Th 0.500 0.500 0.500
As 0.500 0.500 0.000
S 0.000 0.000 0.500
```

Properties
Electronic total energy = -0.2538 Ha/atom
Crystal system = tetragonal
DOS at the Fermi energy = 2.61 states/eV per cell
Uncorrected formation energy = -1.66 eV per atom



Question: Among the records above, which one has the lowest electronic total energy?
Answer: PrThAsS